1.
Density functional theory data (PBE) for a geometry-optimized PmSm2Dy8 structure.

Cell lengths 19.003, 7.002, 5.568 Å; angles 90.00, 92.89, 90.00 degrees
Space group C2/m (No. 12)
Inequivalent atoms, fractional coordinates:
1 Pm 0.000 0.000 0.000
2 Sm 0.216 0.500 0.252
3 Dy 0.046 0.500 0.237
4 Dy 0.131 0.267 0.733
5 Dy 0.187 0.000 0.233

Raw total energy: -4.479 eV per atom
D(E_F): 17.91 states/eV/f.u.
ρ: 7.84 g/cm3
Energy relative to the lowest polymorph listed for this composition: 45 meV per atom
E_form: 1.7 eV/f.u.

***

2.
Density functional theory data (PBE) for a geometry-optimized Pm4Sm5Dy2 structure.

Cell lengths 3.526, 9.341, 23.292 Å; angles 90.00, 90.00, 90.00 degrees
Space group Immm (No. 71)
Inequivalent atoms, fractional coordinates:
1 Pm 0.000 0.000 0.096
2 Pm 0.000 0.299 0.500
3 Sm 0.000 0.203 0.351
4 Sm 0.000 0.500 0.000
5 Dy 0.000 0.000 0.230

Raw total energy: -4.473 eV per atom
D(E_F): 16.52 states/eV/f.u.
ρ: 7.17 g/cm3
Energy relative to the lowest polymorph listed for this composition: 174 meV per atom
E_form: 2.6 eV/f.u.

***

3.
Density functional theory data (PBE) for a geometry-optimized Pm3Sm4Dy2 structure.

Cell lengths 3.6254, 3.6254, 26.8517 Å; angles 90.00, 90.00, 120.00 degrees
Space group P3m1 (No. 156)
Inequivalent atoms, fractional coordinates:
1 Pm 0.0000 0.0000 0.0000
2 Pm 0.0000 0.0000 0.3390
3 Pm 0.6667 0.3333 0.6722
4 Sm 0.0000 0.0000 0.5609
5 Sm 0.0000 0.0000 0.7836
6 Sm 0.6667 0.3333 0.2319
7 Sm 0.6667 0.3333 0.4523
8 Dy 0.6667 0.3333 0.1053
9 Dy 0.6667 0.3333 0.8898

Raw total energy: -4.638 eV per atom
D(E_F): 16.63 states/eV/f.u.
ρ: 7.40 g/cm3
Energy relative to the lowest polymorph listed for this composition: 50 meV per atom
E_form: 0.6 eV/f.u.

***

4.
Density functional theory data (PBE) for a geometry-optimized Pm6Sm3Dy2 structure.

Cell lengths 3.6280, 3.6280, 97.6793 Å; angles 90.00, 90.00, 120.00 degrees
Space group R-3m (No. 166, hexagonal axes)
Inequivalent atoms, fractional coordinates:
1 Pm 0.0000 0.0000 0.0915
2 Pm 0.0000 0.0000 0.1821
3 Pm 0.0000 0.0000 0.3638
4 Sm 0.0000 0.0000 0.0000
5 Sm 0.0000 0.0000 0.2724
6 Dy 0.0000 0.0000 0.4547

Raw total energy: -4.702 eV per atom
D(E_F): 14.27 states/eV/f.u.
ρ: 7.36 g/cm3
Energy relative to the lowest polymorph listed for this composition: 0 meV per atom
E_form: 0.1 eV/f.u.

***

5.
Density functional theory data (PBE) for a geometry-optimized PmSm5Dy structure.

Cell lengths 11.938, 6.861, 12.406 Å; angles 90.00, 111.42, 90.00 degrees
Space group C2/c (No. 15)
Inequivalent atoms, fractional coordinates:
1 Pm 0.000 0.028 0.250
2 Sm 0.000 0.411 0.750
3 Sm 0.079 0.264 0.501
4 Sm 0.218 0.372 0.246
5 Dy 0.250 0.250 0.000

Raw total energy: -4.536 eV per atom
D(E_F): 8.40 states/eV/f.u.
ρ: 7.44 g/cm3
Energy relative to the lowest polymorph listed for this composition: 0 meV per atom
E_form: 1.2 eV/f.u.

***

6.
Density functional theory data (PBE) for a geometry-optimized PmSm2Dy structure.

Cell lengths 5.112, 5.112, 10.206 Å; angles 90.00, 90.00, 90.00 degrees
Space group I-4m2 (No. 119)
Inequivalent atoms, fractional coordinates:
1 Pm 0.000 0.000 0.000
2 Sm 0.000 0.000 0.500
3 Sm 0.000 0.500 0.250
4 Dy 0.000 0.500 0.750

Raw total energy: -4.683 eV per atom
D(E_F): 5.69 states/eV/f.u.
ρ: 7.57 g/cm3
Energy relative to the lowest polymorph listed for this composition: 0 meV per atom
E_form: 0.1 eV/f.u.

***

7.
Density functional theory data (PBE) for a geometry-optimized Pm7SmDy4 structure.

Cell lengths 6.315, 7.285, 8.987 Å; angles 90.01, 103.67, 90.00 degrees
Space group P-1 (No. 2)
Inequivalent atoms, fractional coordinates:
1 Pm 0.000 0.000 0.000
2 Pm 0.222 0.500 0.666
3 Pm 0.280 0.751 0.335
4 Pm 0.500 0.248 0.001
5 Sm 0.000 0.500 0.000
6 Dy 0.219 0.000 0.665
7 Dy 0.278 0.248 0.333

Raw total energy: -4.694 eV per atom
D(E_F): 16.86 states/eV/f.u.
ρ: 7.50 g/cm3
Energy relative to the lowest polymorph listed for this composition: 0 meV per atom
E_form: 0.1 eV/f.u.

***

8.
Density functional theory data (PBE) for a geometry-optimized Pm2SmDy4 structure.

Cell lengths 16.861, 3.552, 8.816 Å; angles 90.00, 119.78, 90.00 degrees
Space group C2/m (No. 12)
Inequivalent atoms, fractional coordinates:
1 Pm 0.069 0.000 0.428
2 Sm 0.000 0.000 0.000
3 Dy 0.145 0.500 0.844
4 Dy 0.206 0.500 0.293

Raw total energy: -4.617 eV per atom
D(E_F): 10.09 states/eV/f.u.
ρ: 7.90 g/cm3
Energy relative to the lowest polymorph listed for this composition: 0 meV per atom
E_form: 0.3 eV/f.u.

***

9.
Density functional theory data (PBE) for a geometry-optimized PmSm2Dy6 structure.

Cell lengths 7.5025, 7.5025, 6.0421 Å; angles 90.00, 90.00, 120.00 degrees
Space group P-3m1 (No. 164)
Inequivalent atoms, fractional coordinates:
1 Pm 0.0000 0.0000 0.0000
2 Sm 0.3333 0.6667 0.2141
3 Dy 0.1875 0.3749 0.7059

Raw total energy: -4.415 eV per atom
D(E_F): 13.45 states/eV/f.u.
ρ: 8.01 g/cm3
Energy relative to the lowest polymorph listed for this composition: 125 meV per atom
E_form: 2.1 eV/f.u.

***

10.
Density functional theory data (PBE) for a geometry-optimized Pm2Sm3Dy3 structure.

Cell lengths 5.778, 14.641, 6.321 Å; angles 90.00, 90.07, 90.00 degrees
Space group P2_1/m (No. 11)
Inequivalent atoms, fractional coordinates:
1 Pm 0.249 0.125 0.330
2 Sm 0.250 0.250 0.831
3 Sm 0.250 0.624 0.335
4 Dy 0.250 0.000 0.834
5 Dy 0.251 0.750 0.836

Raw total energy: -4.659 eV per atom
D(E_F): 14.24 states/eV/f.u.
ρ: 7.63 g/cm3
Energy relative to the lowest polymorph listed for this composition: 7 meV per atom
E_form: 0.2 eV/f.u.

***

11.
Density functional theory data (PBE) for a geometry-optimized Pm3Sm3Dy5 structure.

Cell lengths 9.6672, 9.6672, 5.5507 Å; angles 90.00, 90.00, 120.00 degrees
Space group P-62m (No. 189)
Inequivalent atoms, fractional coordinates:
1 Pm 0.0000 0.4287 0.0000
2 Sm 0.0000 0.6325 0.5000
3 Dy 0.0000 0.2685 0.5000
4 Dy 0.3333 0.6667 0.5000

Raw total energy: -3.903 eV per atom
D(E_F): 20.21 states/eV/f.u.
ρ: 6.28 g/cm3
E_form: 8.5 eV/f.u.

***

12.
Density functional theory data (PBE) for a geometry-optimized Pm3Sm5Dy2 structure.

Cell lengths 10.850, 15.390, 9.793 Å; angles 90.00, 123.34, 90.00 degrees
Space group C2/c (No. 15)
Inequivalent atoms, fractional coordinates:
1 Pm 0.000 0.229 0.250
2 Pm 0.144 0.126 0.051
3 Sm 0.000 0.021 0.250
4 Sm 0.000 0.273 0.750
5 Sm 0.000 0.473 0.750
6 Sm 0.234 0.378 0.223
7 Dy 0.157 0.377 0.550

Raw total energy: -4.518 eV per atom
D(E_F): 18.43 states/eV/f.u.
ρ: 7.35 g/cm3
Energy relative to the lowest polymorph listed for this composition: 0 meV per atom
E_form: 1.9 eV/f.u.